1.
The following is a PBE-GGA calculation of KTe2PdAu after structural relaxation, from the Alexandria database.

Cell: 8.2400 6.3991 6.7943 Å, 118.09 90.00 90.00°
Closest atoms and distances in Å follow each position.
Positions (direct):
K  0.2774  0.7500  0.5000  6 Te 3.68-4.03, 2 Au 3.77, 4 Pd 3.86
K  0.7226  0.2500  0.5000  6 Te 3.68-4.03, 2 Au 3.77, 4 Pd 3.86
Te  0.7145  0.9013  0.8027  1 Au 2.63, 2 Pd 2.66
Te  0.7145  0.5987  0.1973  1 Au 2.63, 2 Pd 2.66
Te  0.2855  0.4013  0.8027  1 Au 2.63, 2 Pd 2.66
Te  0.2855  0.0987  0.1973  1 Au 2.63, 2 Pd 2.66
Pd  0.5000  0.7500  0.0000  4 Te 2.66
Pd  0.5000  0.2500  0.0000  4 Te 2.66
Au  0.0000  0.0000  0.0000  2 Te 2.63
Au  0.0000  0.5000  0.0000  2 Te 2.63

## Properties
As for the space-group type: Cmme, No. 67. The calculation puts the size of the total moment at 0.000 μB per formula unit. The theoretical density is 6.3 g/cm3. Its energy is -36.08 eV per cell.



2.
The following is a PBE-GGA calculation of KTlPdAu after structural relaxation, from the Alexandria database.

Cell: 4.8147 4.8122 6.4882 Å, 111.77 90.00 120.02°
Closest atoms and distances in Å follow each position.
Positions (direct):
K  0.6192  0.2383  0.4996  1 Pd 3.16, 1 Au 3.40
Tl  0.0948  0.1896  0.9267  3 Pd 2.79, 3 Au 2.92
Pd  0.4396  0.8793  0.9610  3 Tl 2.79, 3 Au 2.86-2.87
Au  0.8127  0.6254  0.0801  3 Pd 2.86-2.87, 3 Tl 2.92

## Properties
As for the space-group type: R3m, No. 160. The calculation puts the size of the total moment at 0.000 μB per formula unit. The theoretical density is 7.7 g/cm3. Its energy is -12.66 eV per cell.



3.
The following is a PBE-GGA calculation of KTl2PdAu after structural relaxation, from the Alexandria database.

Cell: 5.2889 5.2889 5.4494 Å, 90.00 90.00 90.00°
Closest atoms and distances in Å follow each position.
Positions (direct):
Tl  0.0000  0.5000  0.0000  2 Pd 2.64
Tl  0.5000  0.0000  0.0000  2 Pd 2.64
Au  0.0000  0.0000  0.5000  2 Pd 2.72
K  0.5000  0.5000  0.5000  4 Au 3.74, 8 Tl 3.80
Pd  0.0000  0.0000  0.0000  4 Tl 2.64, 2 Au 2.72

## Properties
As for the space-group type: P4/mmm, No. 123. The calculation puts the size of the total moment at 0.000 μB per formula unit. The theoretical density is 8.2 g/cm3. Its energy is -14.79 eV per cell.